Entry 1:
Fe2BiPdRu: relaxed, PBE-GGA.

a = 4.5531 Å, b = 4.5531 Å, c = 4.9840 Å
α = 90.00°, β = 90.00°, γ = 90.00°
Positions (direct):
1 Fe 0.0000 0.5000 0.0000
2 Fe 0.5000 0.0000 0.0000
3 Bi 0.0000 0.0000 0.5000
4 Pd 0.5000 0.5000 0.5000
5 Ru 0.5000 0.5000 0.0000

Values from the calculation:
**Energy of formation**: 1.046 eV per atom
**N(E_F)**: 7.14 states/eV/cell

---

Entry 2:
FeBi2SbPd: relaxed, PBE-GGA.

a = 5.8646 Å, b = 5.8646 Å, c = 4.8731 Å
α = 90.00°, β = 90.00°, γ = 90.00°
Positions (direct):
1 Fe 0.0000 0.0000 0.0000
2 Bi 0.0000 0.5000 0.5000
3 Bi 0.5000 0.0000 0.5000
4 Sb 0.5000 0.5000 0.5000
5 Pd 0.5000 0.5000 0.0000

Values from the calculation:
**E_form (uncorrected)**: 1.11 eV per atom
**N(E_F)**: 10.57 states/eV/cell

---

Entry 3:
FeBi2TePd: relaxed, PBE-GGA.

a = 5.3633 Å, b = 5.3633 Å, c = 5.2646 Å
α = 90.00°, β = 90.00°, γ = 90.00°
Positions (direct):
1 Fe 0.0000 0.0000 0.0000
2 Bi 0.0000 0.5000 0.5000
3 Bi 0.5000 0.0000 0.5000
4 Te 0.5000 0.5000 0.0000
5 Pd 0.5000 0.5000 0.5000

Values from the calculation:
**E_form (uncorrected)**: 0.78 eV per atom
**N(E_F)**: 9.12 states/eV/cell

---

Entry 4:
FeBi2TePd: relaxed, PBE-GGA.

a = 5.9097 Å, b = 5.9097 Å, c = 4.6305 Å
α = 90.00°, β = 90.00°, γ = 90.00°
Positions (direct):
1 Fe 0.0000 0.0000 0.0000
2 Bi 0.0000 0.5000 0.5000
3 Bi 0.5000 0.0000 0.5000
4 Te 0.0000 0.0000 0.5000
5 Pd 0.5000 0.5000 0.0000

Values from the calculation:
**E_form (uncorrected)**: 1.07 eV per atom
**N(E_F)**: 4.96 states/eV/cell

---

Entry 5:
TlFe2BiPd: relaxed, PBE-GGA.

a = 4.9031 Å, b = 4.9031 Å, c = 5.1804 Å
α = 90.00°, β = 90.00°, γ = 90.00°
Positions (direct):
1 Tl 0.0000 0.0000 0.0000
2 Fe 0.0000 0.5000 0.5000
3 Fe 0.5000 0.0000 0.5000
4 Bi 0.5000 0.5000 0.0000
5 Pd 0.5000 0.5000 0.5000

Values from the calculation:
**Energy of formation**: 0.820 eV per atom
**N(E_F)**: 5.64 states/eV/cell

---

Entry 6:
Pm2FeBi: relaxed, PBE-GGA.

a = 5.1350 Å, b = 5.1350 Å, c = 4.0623 Å
α = 90.00°, β = 90.00°, γ = 90.00°
Positions (direct):
1 Pm 0.0000 0.5000 0.0000
2 Pm 0.5000 0.0000 0.0000
3 Fe 0.0000 0.0000 0.5000
4 Bi 0.5000 0.5000 0.5000

Values from the calculation:
**Energy of formation**: -0.140 eV per atom
**N(E_F)**: 5.14 states/eV/cell

---

Values of calculated density, in order: 8.49; 6.96; 7.76; 7.27; 8.42; 8.60, all in Mg/m³.